No. 1
Material: K2TiInCl6
Method: DFT, GGA-PBE
State: optimized geometry

Properties
Symmetry: R3 (146)
Magnetization, μB/f.u.: 1.00
Formation energy without anion corrections, eV/atom: -1.58
Final energy, Ha/atom: -0.1460

a = 7.720 Å, b = 7.720 Å, c = 7.720 Å
α = 58.41°, β = 58.41°, γ = 58.41°
Atoms (fractional coordinates):
K 0.000 0.000 0.000
K 0.489 0.489 0.489
Ti 0.705 0.705 0.705
In 0.215 0.215 0.215
Cl 0.016 0.485 0.823
Cl 0.387 0.907 0.586
Cl 0.485 0.823 0.016
Cl 0.586 0.387 0.907
Cl 0.823 0.016 0.485
Cl 0.907 0.586 0.387

***

No. 2
Material: KTi2InCl8
Method: DFT, GGA-PBE
State: optimized geometry

Properties
Symmetry: P-3 (147)
Magnetization, μB/f.u.: 2.00
Formation energy without anion corrections, eV/atom: -1.45
Final energy, Ha/atom: -0.1588

a = 7.544 Å, b = 7.544 Å, c = 9.619 Å
α = 90.00°, β = 90.00°, γ = 120.00°
Atoms (fractional coordinates):
K 0.000 0.000 0.000
Ti 0.333 0.667 0.816
Ti 0.667 0.333 0.184
In 0.000 0.000 0.500
Cl 0.135 0.336 0.741
Cl 0.201 0.865 0.741
Cl 0.333 0.667 0.050
Cl 0.336 0.201 0.259
Cl 0.664 0.799 0.741
Cl 0.667 0.333 0.950
Cl 0.799 0.135 0.259
Cl 0.865 0.664 0.259

***

No. 3
Material: KTl2InCl
Method: DFT, GGA-PBE
State: optimized geometry

Properties
Symmetry: P4/mmm (123)
Magnetization, μB/f.u.: 0.00
Formation energy without anion corrections, eV/atom: -0.26
Final energy, Ha/atom: -0.0861

a = 5.991 Å, b = 5.991 Å, c = 5.612 Å
α = 90.00°, β = 90.00°, γ = 90.00°
Atoms (fractional coordinates):
K 0.000 0.000 0.000
Tl 0.000 0.500 0.500
Tl 0.500 0.000 0.500
In 0.500 0.500 0.000
Cl 0.000 0.000 0.500